Entry 1:
A relaxed Zn2FeP crystal, computed with PBE.

a = 6.0405 Å, b = 6.0405 Å, c = 6.0405 Å
α = 90.00°, β = 90.00°, γ = 90.00°
Closest atoms and distances in Å follow each position.
Space group F-43m (No. 216)
Inequivalent atoms, fractional coordinates:
Zn: 0.0000 0.0000 0.0000  4 Zn 2.62, 4 P 2.62
Zn: 0.2500 0.2500 0.2500  4 Fe 2.62, 4 Zn 2.62
Fe: 0.0000 0.0000 0.5000  4 Zn 2.62, 4 P 2.62
P: 0.2500 0.2500 0.7500  4 Fe 2.62, 4 Zn 2.62

Properties
The calculation puts the energy of formation from the pure elements at 293 meV per atom. Its volume is 13.78 A^3/atom.



Entry 2:
A relaxed Zn2Fe2P crystal, computed with PBE.

a = 3.2734 Å, b = 3.2734 Å, c = 12.9576 Å
α = 90.00°, β = 90.00°, γ = 90.00°
Closest atoms and distances in Å follow each position.
Space group I4/mmm (No. 139)
Inequivalent atoms, fractional coordinates:
Zn: 0.0000 0.5000 0.2500  4 Zn 2.31
Fe: 0.0000 0.0000 0.0870  1 Fe 2.25
P: 0.0000 0.0000 0.5000  8 Fe 2.57

Properties
The relative energy among the computed polymorphs is 432 meV/atom. The calculation puts the energy of formation from the pure elements at 281 meV per atom. Its volume is 13.88 A^3/atom.



Entry 3:
A relaxed Zn2FeP crystal, computed with PBE.

a = 7.8454 Å, b = 2.9145 Å, c = 4.7476 Å
α = 90.00°, β = 100.18°, γ = 90.00°
Closest atoms and distances in Å follow each position.
Space group Cm (No. 8)
Inequivalent atoms, fractional coordinates:
Zn: 0.0000 0.0000 0.0000  3 Zn 2.42-2.60, 2 P 2.50, 3 Fe 2.57-2.62
Zn: 0.2431 0.0000 0.7509  3 Zn 2.42-2.60, 1 P 2.58, 2 Fe 2.66
Fe: 0.2497 0.5000 0.2850  3 P 2.25-2.40
P: 0.4677 0.0000 0.4152  3 Fe 2.25-2.40, 2 Zn 2.50

Properties
The calculation puts the energy of formation from the pure elements at 62 meV per atom. Its volume is 13.36 A^3/atom.



Entry 4:
A relaxed Zn2FeP crystal, computed with PBE.

a = 2.6266 Å, b = 4.8284 Å, c = 4.3229 Å
α = 90.00°, β = 96.05°, γ = 90.00°
Closest atoms and distances in Å follow each position.
Space group P2/m (No. 10)
Inequivalent atoms, fractional coordinates:
Zn: 0.2201 0.0000 0.2570  5 Zn 2.39-2.63
Fe: 0.5000 0.5000 0.5000  4 P 2.41-2.64, 2 Fe 2.63
P: 0.0000 0.5000 0.0000  4 Fe 2.41-2.64, 2 P 2.63, 4 Zn 2.69

Properties
The calculation puts the energy of formation from the pure elements at 148 meV per atom. Its volume is 13.63 A^3/atom.